NaGdCoS3: optimized geometry, PBE-GGA.

Values from the calculation:
Calculated total energy = -5.45 eV/atom
V = 261.1 Å³/cell

```
12
Lattice="6.379 -1.943 0.000 6.379 1.943 0.000 0.000 0.000 10.535" Properties=species:S:1:pos:R:3 pbc="T T T"
Gd 0.000 0.000 0.000
S 4.652 0.000 0.853
Gd 0.000 0.000 5.267
S 0.941 0.000 2.634
Co 6.020 0.000 2.634
S 8.106 0.000 6.120
S 4.652 0.000 4.415
Na 9.595 0.000 2.634
Co 6.738 0.000 7.901
S 11.817 0.000 7.901
Na 3.163 0.000 7.901
S 8.106 0.000 9.682
```


NaGdCoS3: optimized geometry, PBE-GGA.

Values from the calculation:
Calculated total energy = -5.48 eV/atom
V = 272.3 Å³/cell

```
12
Lattice="8.057 0.000 0.000 0.000 3.861 0.000 -1.905 0.000 8.753" Properties=species:S:1:pos:R:3 pbc="T T T"
S 7.190 2.896 1.414
S 4.538 2.896 4.620
Co 2.596 2.896 3.646
Na 5.135 0.965 1.768
Co 3.556 0.965 5.106
S 3.025 2.896 1.391
S 3.128 0.965 7.362
Gd 1.094 0.965 1.316
Gd 5.058 2.896 7.437
S 1.615 0.965 4.132
S -1.038 0.965 7.338
Na 1.017 2.896 6.984
```


NaGdCoS3: optimized geometry, PBE-GGA.

Values from the calculation:
Calculated total energy = -5.45 eV/atom
V = 525.8 Å³/cell

```
24
Lattice="10.553 0.000 0.000 0.000 3.885 0.000 0.000 0.000 12.824" Properties=species:S:1:pos:R:3 pbc="T T T"
S 8.016 2.914 2.282
S 1.099 0.971 1.369
Co 7.745 2.914 9.996
S 0.594 2.914 7.993
S 2.537 0.971 10.542
Na 2.236 0.971 6.382
Na 3.040 2.914 12.793
S 4.683 0.971 1.581
S 4.177 2.914 7.781
S 9.454 2.914 11.454
Gd 5.122 0.971 9.448
S 7.813 0.971 8.694
Na 7.513 0.971 0.030
Na 8.316 2.914 6.442
Gd 5.430 2.914 3.376
Gd 0.154 2.914 3.036
Co 8.084 0.971 3.584
Gd 10.399 0.971 9.788
Co 2.469 2.914 9.240
S 2.740 2.914 4.130
S 5.870 2.914 11.243
Co 2.807 0.971 2.828
S 9.959 0.971 4.831
S 6.375 0.971 5.042
```


GdNbCo: optimized geometry, PBE-GGA.

Values from the calculation:
Calculated total energy = -6.46 eV/atom
E_form = 0.83 eV per atom
V = 61.9 Å³/cell

```
3
Lattice="0.000 3.140 3.140 3.140 0.000 3.140 3.140 3.140 0.000" Properties=species:S:1:pos:R:3 pbc="T T T"
Nb 0.000 0.000 0.000
Co 1.570 1.570 1.570
Gd 4.710 4.710 4.710
```


GdNbCo: optimized geometry, PBE-GGA.

Values from the calculation:
Calculated total energy = -5.91 eV/atom
E_form = 1.37 eV per atom
V = 62.0 Å³/cell

```
3
Lattice="0.000 3.142 3.142 3.142 0.000 3.142 3.142 3.142 0.000" Properties=species:S:1:pos:R:3 pbc="T T T"
Nb 4.713 4.713 4.713
Gd 0.000 0.000 0.000
Co 1.571 1.571 1.571
```


NdGdCo2Pb: optimized geometry, PBE-GGA.

Values from the calculation:
Calculated total energy = -5.76 eV/atom
V = 109.7 Å³/cell

```
5
Lattice="-0.823 2.756 2.660 6.396 -1.497 3.530 7.288 1.267 0.943" Properties=species:S:1:pos:R:3 pbc="T T T"
Pb 13.223 1.149 5.787
Co 2.477 1.330 2.274
Gd 4.927 -0.083 1.611
Nd 8.735 -0.147 2.856
Co 10.453 1.196 4.882
```


Pr2Nd3GdCoTe2: optimized geometry, PBE-GGA.

Values from the calculation:
Calculated total energy = -5.33 eV/atom
V = 260.0 Å³/cell

```
9
Lattice="3.986 0.000 0.000 0.000 7.495 4.351 0.000 -7.495 4.351" Properties=species:S:1:pos:R:3 pbc="T T T"
Nd 0.000 0.000 5.112
Gd 1.993 0.000 2.057
Pr 1.993 5.710 3.323
Pr 1.993 -5.710 3.323
Te 1.993 -2.470 4.327
Nd 0.000 4.424 6.133
Nd 0.000 -4.424 6.133
Co 0.000 0.000 0.075
Te 1.993 2.470 4.327
```


Nd3GdY2CoSe2: optimized geometry, PBE-GGA.

Values from the calculation:
Calculated total energy = -5.90 eV/atom
V = 233.3 Å³/cell

```
9
Lattice="3.927 0.000 0.000 0.000 7.177 4.138 0.000 -7.177 4.138" Properties=species:S:1:pos:R:3 pbc="T T T"
Se 1.963 2.408 4.127
Se 1.963 -2.408 4.127
Nd 0.000 0.000 3.449
Nd 0.000 2.968 6.554
Y 1.963 -1.711 0.994
Y 1.963 1.711 0.994
Gd 1.963 0.000 6.317
Co 0.000 0.000 8.269
Nd 0.000 -2.968 6.554
```